Arrangement a

Computed, not measured: crystalline Ac2PuBr at its relaxed geometry at the PBE level of DFT.

extended XYZ file:
```
4
Lattice="-0.229 2.799 -2.520 -3.629 -0.840 -0.603 -2.702 6.396 7.350" Properties=species:S:1:pos:R:3 pbc="T T T"
Ac -2.043 4.835 5.557
Ac -0.659 1.560 1.793
Br -1.929 0.980 -1.561
Pu -3.280 4.177 2.114
```

The value obtained for the density of states at the Fermi level is 2.23 states/eV/atom. Its symmetry is P4/mmm, No. 123. For the calculated volume, the calculation gives 35.98 Å³ per atom.



Arrangement b

Computed, not measured: crystalline Ac2PuBr at its relaxed geometry at the PBE level of DFT.

extended XYZ file:
```
4
Lattice="-3.537 -0.385 1.693 -0.458 -2.417 3.078 1.048 7.346 8.447" Properties=species:S:1:pos:R:3 pbc="T T T"
Ac -2.246 3.282 9.810
Ac -0.701 1.261 3.408
Br -1.473 2.272 6.609
Pu 0.000 0.000 0.000
```

The value obtained for the density of states at the Fermi level is 1.79 states/eV/atom. Its symmetry is R-3m, No. 166. For the calculated volume, the calculation gives 37.01 Å³ per atom.



The structure with the greatest stability is arrangement b.



Arrangement a

Computed, not measured: crystalline Ac2RhBr at its relaxed geometry at the PBE level of DFT.

extended XYZ file:
```
4
Lattice="4.313 0.000 0.000 2.156 3.735 0.000 2.156 1.245 8.420" Properties=species:S:1:pos:R:3 pbc="T T T"
Ac 2.156 1.245 6.780
Ac 2.156 1.245 1.613
Rh 6.469 3.735 8.394
Br 4.313 2.490 4.263
```

The value obtained for the density of states at the Fermi level is 0.16 states/eV/atom. Its symmetry is R3m, No. 160. For the calculated volume, the calculation gives 33.91 Å³ per atom.



Arrangement b

Computed, not measured: crystalline Ac2RhBr at its relaxed geometry at the PBE level of DFT.

extended XYZ file:
```
4
Lattice="3.693 0.000 0.000 0.000 3.693 0.000 0.000 0.000 8.690" Properties=species:S:1:pos:R:3 pbc="T T T"
Ac 0.000 0.000 6.861
Ac 0.000 0.000 1.829
Rh 1.846 1.846 0.000
Br 1.846 1.846 4.345
```

The value obtained for the density of states at the Fermi level is 0.78 states/eV/atom. Its symmetry is P4/mmm, No. 123. For the calculated volume, the calculation gives 29.62 Å³ per atom.



The structure with the greatest stability is arrangement a.



Arrangement a

Computed, not measured: crystalline Ac4Ru2Br5 at its relaxed geometry at the PBE level of DFT.

extended XYZ file:
```
11
Lattice="4.308 0.000 -0.980 -0.811 8.020 -3.568 0.222 0.044 10.939" Properties=species:S:1:pos:R:3 pbc="T T T"
Ac 2.476 5.507 0.926
Ac -0.229 2.264 -1.007
Ac 1.243 2.557 5.466
Ac -0.582 5.756 -2.561
Ru 1.992 4.511 -1.203
Ru 1.727 3.553 7.595
Br 0.508 3.201 2.232
Br 3.212 4.864 4.160
Br 0.057 7.651 0.252
Br 2.154 0.000 -0.490
Br 3.662 0.413 6.140
```

The value obtained for the density of states at the Fermi level is 0.29 states/eV/atom. Its symmetry is Immm, No. 71. For the calculated volume, the calculation gives 34.59 Å³ per atom.



Arrangement b

Computed, not measured: crystalline Ac4Ru2Br5 at its relaxed geometry at the PBE level of DFT.

extended XYZ file:
```
11
Lattice="-3.170 1.061 -2.813 -5.912 -4.638 4.913 0.280 9.592 6.693" Properties=species:S:1:pos:R:3 pbc="T T T"
Ac -5.369 1.124 3.081
Ac -4.317 -2.914 3.765
Ac -3.433 4.890 5.712
Ac -4.485 8.928 5.028
Ru -4.760 -0.759 1.684
Ru -4.042 6.773 7.109
Br -5.312 -0.570 5.771
Br -3.490 6.584 3.022
Br -2.553 2.498 3.819
Br -1.585 0.530 -1.407
Br -6.249 3.516 4.974
```

The value obtained for the density of states at the Fermi level is 0.30 states/eV/atom. Its symmetry is C2/m, No. 12. For the calculated volume, the calculation gives 40.65 Å³ per atom.



The structure with the greatest stability is arrangement b.



Arrangement a

Computed, not measured: crystalline AcSBr at its relaxed geometry at the PBE level of DFT.

extended XYZ file:
```
24
Lattice="7.258 0.000 0.000 0.000 7.405 0.000 0.000 0.000 14.751" Properties=species:S:1:pos:R:3 pbc="T T T"
Ac 5.400 0.206 13.363
Ac 1.858 7.198 1.388
Ac 5.487 3.908 1.388
Ac 1.858 3.496 5.987
Ac 1.771 3.496 13.363
Ac 5.400 3.908 8.764
Ac 1.771 7.198 8.764
Ac 5.487 0.206 5.987
S 0.000 1.897 7.658
S 7.258 5.508 7.094
S 3.629 5.599 7.094
S 7.258 1.805 0.282
S 3.629 1.805 7.658
S 0.000 5.599 14.470
S 3.629 5.508 14.470
S 3.629 1.897 0.282
Br 6.258 2.837 11.654
Br 1.000 4.568 3.098
Br 4.629 6.539 3.098
Br 1.000 0.866 4.278
Br 2.629 0.866 11.654
Br 6.258 6.539 10.474
Br 2.629 4.568 10.474
Br 4.629 2.837 4.278
```

The value obtained for the density of states at the Fermi level is 0.00 states/eV/atom. Its symmetry is Pbca, No. 61. For the calculated volume, the calculation gives 33.03 Å³ per atom.



Arrangement b

Computed, not measured: crystalline AcSBr at its relaxed geometry at the PBE level of DFT.

extended XYZ file:
```
18
Lattice="6.964 0.000 0.000 0.000 7.011 0.000 0.000 0.000 13.860" Properties=species:S:1:pos:R:3 pbc="T T T"
Ac 0.223 1.984 4.598
Ac 0.223 1.984 9.262
Ac 6.474 1.615 0.000
Ac 2.992 5.396 6.930
Ac 3.705 5.028 2.332
Ac 3.705 5.028 11.528
S 5.401 2.741 11.455
S 5.401 2.741 2.405
S 4.987 6.194 0.000
S 1.919 4.271 4.525
S 1.919 4.271 9.335
S 1.505 0.817 6.930
Br 5.341 3.052 6.930
Br 5.127 6.436 4.741
Br 5.127 6.436 9.119
Br 1.858 3.959 0.000
Br 1.645 0.575 2.189
Br 1.645 0.575 11.671
```

The value obtained for the density of states at the Fermi level is 0.00 states/eV/atom. Its symmetry is Pmn2_1, No. 31. For the calculated volume, the calculation gives 37.60 Å³ per atom.



The structure with the greatest stability is arrangement a.